1.
NdHfPt: optimized geometry, PBE.

Structure (CIF):
```
data_NdHfPt
_chemical_formula_sum 'Nd2 Hf2 Pt2'
_cell_length_a 4.659
_cell_length_b 4.659
_cell_length_c 6.860
_cell_angle_alpha 90.00
_cell_angle_beta 90.00
_cell_angle_gamma 90.00
_space_group_name_H-M_alt 'P 4/n m m'
_space_group_IT_number 129
loop_
_space_group_symop_operation_xyz
'x,y,z'
'-x,-y,-z'
'-y+1/2,x,z'
'y+1/2,-x,-z'
'-x+1/2,-y+1/2,z'
'x+1/2,y+1/2,-z'
'y,-x+1/2,z'
'-y,x+1/2,-z'
'x+1/2,-y,-z'
'-x+1/2,y,z'
'-y,-x,-z'
'y,x,z'
'-x,y+1/2,-z'
'x,-y+1/2,z'
'y+1/2,x+1/2,-z'
'-y+1/2,-x+1/2,z'
loop_
_atom_site_label
_atom_site_type_symbol
_atom_site_fract_x
_atom_site_fract_y
_atom_site_fract_z
_atom_site_occupancy
Nd1 Nd 0.250 0.250 0.123 1
Hf1 Hf 0.250 0.750 0.500 1
Pt1 Pt 0.250 0.250 0.697 1
```

Results
- Calculated volume: 24.8 Å³/atom
- Calculated formation energy: -0.85 eV/atom
- Energy above the most stable polymorph in this dataset: 0 meV/atom



2.
NdPuHf: optimized geometry, PBE.

Structure (CIF):
```
data_NdPuHf
_chemical_formula_sum 'Nd4 Pu4 Hf4'
_cell_length_a 7.233
_cell_length_b 7.233
_cell_length_c 7.233
_cell_angle_alpha 90.00
_cell_angle_beta 90.00
_cell_angle_gamma 90.00
_space_group_name_H-M_alt 'F -4 3 m'
_space_group_IT_number 216
_space_group_name_Hall 'F -4 2 3'
loop_
_atom_site_label
_atom_site_type_symbol
_atom_site_fract_x
_atom_site_fract_y
_atom_site_fract_z
_atom_site_occupancy
Nd1 Nd 0.000 0.000 0.000 1
Pu1 Pu 0.000 0.000 0.500 1
Hf1 Hf 0.250 0.250 0.250 1
```

Results
- Calculated volume: 31.5 Å³/atom
- Calculated formation energy: 0.85 eV/atom
- Energy above the most stable polymorph in this dataset: 0 meV/atom



3.
RbNdHf: optimized geometry, PBE.

Structure (CIF):
```
data_RbNdHf
_chemical_formula_sum 'Rb4 Nd4 Hf4'
_cell_length_a 8.124
_cell_length_b 8.124
_cell_length_c 8.124
_cell_angle_alpha 90.00
_cell_angle_beta 90.00
_cell_angle_gamma 90.00
_space_group_name_H-M_alt 'F -4 3 m'
_space_group_IT_number 216
_space_group_name_Hall 'F -4 2 3'
loop_
_atom_site_label
_atom_site_type_symbol
_atom_site_fract_x
_atom_site_fract_y
_atom_site_fract_z
_atom_site_occupancy
Rb1 Rb 0.000 0.000 0.000 1
Nd1 Nd 0.000 0.000 0.500 1
Hf1 Hf 0.250 0.250 0.750 1
```

Results
- Calculated volume: 44.7 Å³/atom
- Energy: -0.267 Ry/atom



Which of these has the lowest calculated volume?
NdHfPt



Which value of calculated volume does entry 3 give?
44.7 Å³/atom